Density functional theory data (PBE+U) for a relaxed structure of Rb3Ac2MnO6.

Unit cell a=6.387 b=6.387 c=6.919 alpha=98.60 beta=98.60 gamma=120.77
Positions (direct):
Rb: 0.000 0.000 0.000
Rb: 0.341 0.659 0.000
Rb: 0.659 0.341 0.000
Ac: 0.169 0.831 0.500
Ac: 0.831 0.169 0.500
Mn: 0.500 0.500 0.500
O: 0.121 0.437 0.309
O: 0.283 0.283 0.659
O: 0.437 0.121 0.309
O: 0.563 0.879 0.691
O: 0.717 0.717 0.341
O: 0.879 0.563 0.691

Output
Total DFT energy (no corrections) = -6.100 eV/atom
SG = No. 12
Total moment = 4.0 μB per formula unit
ρ = 6.2 Mg/m³